Entry 1:
This record from Alexandria describes a geometry-optimized La2PmNd5Ho structure. The functional is PBE.

Properties
Energy, eV per atom: -4.53
Energy relative to the elements, eV/atom: 0.2468

```
La2PmNd5Ho
1.0
-0.761 7.727 -4.078
-7.874 -2.381 -3.042
0.747 0.529 10.296
Nd Ho Pm La
10 2 2 4
Cartesian
-4.317 2.673 -3.560
-4.058 -0.407 5.286
-2.961 2.567 0.117
-7.719 4.614 -3.379
-4.927 3.309 3.059
-6.851 0.898 -1.151
0.000 0.000 0.000
-1.038 4.978 4.327
-0.169 1.262 6.554
-3.830 6.283 -2.111
-2.166 5.465 1.329
-5.722 0.411 1.847
-1.785 1.601 3.368
-6.103 4.275 -0.192
-3.084 0.022 -1.645
-5.551 5.325 -5.475
-1.416 4.505 -2.893
-7.219 0.842 -4.227
```

Entry 2:
This record from Alexandria describes a geometry-optimized ZnCu4P structure. The functional is PBE.

Properties
Energy, eV per atom: -3.65
Energy relative to the elements, eV/atom: 0.1991

```
ZnCu4P
1.0
-4.629 -0.287 -1.406
-3.535 1.413 2.999
-2.502 4.043 -0.939
Cu Zn P
4 1 1
Cartesian
-6.317 1.793 -0.459
-5.768 2.645 1.748
-5.251 3.963 -0.225
-3.996 1.937 0.245
0.000 0.000 0.000
-8.000 3.877 0.491
```

Entry 3:
This record from Alexandria describes a geometry-optimized TbNd2Au3 structure. The functional is PBE.

Properties
Energy, eV per atom: -4.79
Energy relative to the elements, eV/atom: -0.7889

```
TbNd2Au3
1.0
3.669 0.000 0.000
0.000 5.205 0.000
0.000 0.000 15.715
Nd Tb Au
4 2 6
Cartesian
3.664 0.000 10.489
0.005 2.603 2.632
3.664 0.000 5.226
0.005 2.603 13.083
0.003 0.000 0.000
3.666 2.603 7.857
1.840 0.000 2.482
1.838 2.603 0.000
1.840 0.000 13.232
1.831 0.000 7.857
1.829 2.603 10.340
1.829 2.603 5.375
```

Entry 4:
This record from Alexandria describes a geometry-optimized NbGaBr3 structure. The functional is PBE.

Properties
Polymorph energy (0 for the lowest one), eV/f.u.: 3.50
Formation energy (no corrections), eV/atom: 0.43
Energy, eV per atom: -3.19

```
NbGaBr3
1.0
-2.000 4.560 -1.760
-4.495 -0.969 2.597
1.920 2.481 4.248
Br Nb Ga
3 1 1
Cartesian
-1.000 2.280 -0.880
0.960 1.241 2.124
-2.247 -0.485 1.299
-2.287 3.036 2.543
0.000 0.000 0.000
```

Entry 5:
This record from Alexandria describes a geometry-optimized MgSc8C5 structure. The functional is PBE.

Properties
Energy, eV per atom: -7.46
Energy relative to the elements, eV/atom: -0.4293

```
MgSc8C5
1.0
-0.046 -2.563 -2.164
7.955 -1.951 2.143
-4.725 -3.286 6.591
Sc C Mg
8 5 1
Cartesian
-2.640 -5.334 3.772
2.817 -5.535 6.496
4.211 -5.378 3.681
5.825 -2.466 2.798
2.178 -2.533 2.954
0.368 -2.264 0.074
1.007 -5.266 3.615
-1.026 -2.421 2.889
7.955 -1.951 2.143
-2.970 -3.150 3.793
6.154 -4.650 2.777
2.507 -3.992 4.675
0.678 -3.807 1.894
-0.769 -5.542 6.580
```

Entry 6:
This record from Alexandria describes a geometry-optimized NaLiTc2F structure. The functional is PBE.

Properties
Formation energy (no corrections), eV/atom: 1.28
Energy, eV per atom: -3.89

```
NaLiTc2F
1.0
-1.364 -3.795 3.552
1.164 -2.717 -2.457
4.937 0.204 2.113
Tc Na Li F
2 1 1 1
Cartesian
-0.682 -1.898 1.776
2.468 0.102 1.057
0.000 0.000 0.000
2.368 -3.155 1.604
0.582 -1.359 -1.229
```

Entry 7:
This record from Alexandria describes a geometry-optimized TiNb structure. The functional is PBE.

Properties
Energy, eV per atom: -8.96
Energy relative to the elements, eV/atom: 0.0231

```
TiNb
1.0
2.839 -0.007 0.000
-0.955 2.674 0.000
0.000 0.000 4.636
Ti Nb
1 1
Cartesian
0.942 1.334 2.318
0.000 0.000 0.000
```

Entry 8:
This record from Alexandria describes a geometry-optimized CePm4As5 structure. The functional is PBE.

Properties
Energy, eV per atom: -6.33
Energy relative to the elements, eV/atom: -1.5143

```
CePm4As5
1.0
-2.806 -3.127 -0.550
3.201 -2.061 -4.614
5.354 -3.548 9.177
Pm As Ce
4 5 1
Cartesian
3.520 -6.269 1.364
2.230 -2.467 2.649
1.318 -3.833 -1.251
4.431 -4.902 5.264
3.825 -3.491 0.335
1.601 -1.031 -2.307
-0.313 -2.769 1.020
1.925 -5.245 3.678
6.062 -5.966 2.993
0.000 0.000 0.000
```